Crystalline La4Ho4Tm at its relaxed geometry. Source: Alexandria via LeMat-Bulk, functional PBE.

Computed properties:
The value obtained for the formation energy is 0.7169 eV per atom. As for the energy above the most stable polymorph in this dataset: 0.687 eV/atom. The calculation puts the density of states at the Fermi level at 13.449 states/eV/f.u.

Cell lengths 10.6527, 10.6527, 10.6527 Å; angles 146.56, 146.56, 48.02 degrees
Closest atoms and distances in Å follow each position.
Atoms (fractional coordinates):
La 0.0000 0.5000 0.5000  2 Tm 3.07
La 0.1451 0.1451 0.0000  1 Tm 2.82, 2 Ho 2.99
La 0.5000 0.0000 0.5000  2 Tm 3.07
La 0.8549 0.8549 0.0000  1 Tm 2.82, 2 Ho 2.99
Ho 0.1164 0.1164 0.6392  2 La 2.99-3.34, 1 Ho 3.13
Ho 0.4772 0.4772 0.3608  2 La 2.99-3.34, 1 Ho 3.13
Ho 0.5228 0.8836 0.0000  2 La 2.99-3.34, 1 Ho 3.13
Ho 0.8836 0.5228 0.0000  2 La 2.99-3.34, 1 Ho 3.13
Tm 0.0000 0.0000 0.0000  6 La 2.82-3.07

***

Crystalline La2Ho3Tm5 at its relaxed geometry. Source: Alexandria via LeMat-Bulk, functional PBE.

Computed properties:
The value obtained for the formation energy is 0.2174 eV per atom. The calculation puts the density of states at the Fermi level at 17.395 states/eV/f.u.

Cell lengths 9.0042, 9.0042, 9.6516 Å; angles 106.04, 106.04, 105.84 degrees
Closest atoms and distances in Å follow each position.
Atoms (fractional coordinates):
La 0.0468 0.2945 0.0435  3 Ho 3.24-3.52, 3 Tm 3.43-3.61
La 0.2945 0.0468 0.5435  3 Ho 3.24-3.52, 3 Tm 3.43-3.61
La 0.7055 0.9532 0.4565  3 Ho 3.24-3.52, 3 Tm 3.43-3.61
La 0.9532 0.7055 0.9565  3 Ho 3.24-3.52, 3 Tm 3.43-3.61
Ho 0.2000 0.4534 0.4210  1 La 3.24, 5 Tm 3.30-3.55, 1 Ho 3.34
Ho 0.2738 0.7262 0.2500  3 Tm 3.30-3.38, 2 Ho 3.34, 4 La 3.36-3.52
Ho 0.4534 0.2000 0.9210  1 La 3.24, 5 Tm 3.30-3.55, 1 Ho 3.34
Ho 0.5466 0.8000 0.0790  1 La 3.24, 5 Tm 3.30-3.55, 1 Ho 3.34
Ho 0.7262 0.2738 0.7500  3 Tm 3.30-3.38, 2 Ho 3.34, 4 La 3.36-3.52
Ho 0.8000 0.5466 0.5790  1 La 3.24, 5 Tm 3.30-3.55, 1 Ho 3.34
Tm 0.0336 0.9664 0.7500  3 Tm 3.15-3.46, 2 Ho 3.42, 2 La 3.43
Tm 0.0780 0.3267 0.6757  3 Ho 3.30-3.67, 3 Tm 3.44-3.46, 1 La 3.61
Tm 0.2526 0.7474 0.7500  4 Tm 3.15-3.50, 2 Ho 3.34
Tm 0.3267 0.0780 0.1757  3 Ho 3.30-3.67, 3 Tm 3.44-3.46, 1 La 3.61
Tm 0.4962 0.5038 0.7500  5 Ho 3.30-3.55, 3 Tm 3.44-3.50, 2 La 3.69
Tm 0.5038 0.4962 0.2500  5 Ho 3.30-3.55, 3 Tm 3.44-3.50, 2 La 3.69
Tm 0.6733 0.9220 0.8243  3 Ho 3.30-3.67, 3 Tm 3.44-3.46, 1 La 3.61
Tm 0.7474 0.2526 0.2500  4 Tm 3.15-3.50, 2 Ho 3.34
Tm 0.9220 0.6733 0.3243  3 Ho 3.30-3.67, 3 Tm 3.44-3.46, 1 La 3.61
Tm 0.9664 0.0336 0.2500  3 Tm 3.15-3.46, 2 Ho 3.42, 2 La 3.43